Here is a geometry-optimized Tl2Fe2Cu structure from the Alexandria database. Energies are from PBE.

Cell and atoms, written as CIF:
```
data_Tl2Fe2Cu
_cell_length_a 6.4606
_cell_length_b 6.4606
_cell_length_c 4.2053
_cell_angle_alpha 90.00
_cell_angle_beta 90.00
_cell_angle_gamma 90.00
_space_group_name_H-M_alt 'P 4/m b m'
_space_group_IT_number 127
_space_group_name_Hall '-P 4 2ab'
loop_
_atom_site_label
_atom_site_fract_x
_atom_site_fract_y
_atom_site_fract_z
Tl1 0.1790 0.3210 0.0000
Fe1 0.1272 0.6272 0.5000
Cu1 0.0000 0.0000 0.5000
```

Raw total energy in eV/cell: -46.296

=====

Here is a geometry-optimized Tl2Fe2Cu structure from the Alexandria database. Energies are from PBE.

Cell and atoms, written as CIF:
```
data_Tl2Fe2Cu
_cell_length_a 5.1999
_cell_length_b 5.1999
_cell_length_c 7.2245
_cell_angle_alpha 90.00
_cell_angle_beta 90.00
_cell_angle_gamma 90.00
_space_group_name_H-M_alt 'I 4/m m m'
_space_group_IT_number 139
_space_group_name_Hall '-I 4 2'
loop_
_atom_site_label
_atom_site_fract_x
_atom_site_fract_y
_atom_site_fract_z
Tl1 0.0000 0.5000 0.2500
Fe1 0.0000 0.0000 0.1515
Cu1 0.0000 0.0000 0.5000
```

Raw total energy in eV/cell: -43.663

=====

| no. | ΔH_f (0 K) (kJ/mol of atoms) |
| --- | --- |
| 1 | 50 |
| 2 | 76 |